# 1
FeOsRu2 after structural relaxation. Source: the Alexandria database, functional PBE.

Computed properties:
Energy of formation from the pure elements ... 14.5 kJ/mol of atoms
D(E_F) ... 10.09 states/eV per cell
Raw total energy ... -9.41 eV per atom

```
data_FeOsRu2
_chemical_formula_sum 'Fe2 Os2 Ru4'
_symmetry_space_group_name_H-M 'I -4 m 2'
_symmetry_Int_Tables_number 119
_symmetry_space_group_name_Hall 'I -4 -2'
_cell_length_a 3.761
_cell_length_b 3.761
_cell_length_c 7.564
_cell_angle_alpha 90.00
_cell_angle_beta 90.00
_cell_angle_gamma 90.00
loop_
_atom_site_label
_atom_site_type_symbol
_atom_site_fract_x
_atom_site_fract_y
_atom_site_fract_z
Fe1 Fe 0.000 0.000 0.000
Os1 Os 0.000 0.500 0.750
Ru1 Ru 0.000 0.000 0.500
Ru2 Ru 0.000 0.500 0.250
```



# 2
NaScSnAu after structural relaxation. Source: the Alexandria database, functional PBE.

Computed properties:
Energy of formation from the pure elements ... -40.6 kJ/mol of atoms
D(E_F) ... 11.15 states/eV per cell
Raw total energy ... -4.15 eV per atom

```
data_NaScSnAu
_chemical_formula_sum 'Na4 Sc4 Sn4 Au4'
_symmetry_space_group_name_H-M 'F -4 3 m'
_symmetry_Int_Tables_number 216
_symmetry_space_group_name_Hall 'F -4 2 3'
_cell_length_a 7.017
_cell_length_b 7.017
_cell_length_c 7.017
_cell_angle_alpha 90.00
_cell_angle_beta 90.00
_cell_angle_gamma 90.00
loop_
_atom_site_label
_atom_site_type_symbol
_atom_site_fract_x
_atom_site_fract_y
_atom_site_fract_z
Na1 Na 0.000 0.000 0.000
Sc1 Sc 0.000 0.000 0.500
Sn1 Sn 0.250 0.250 0.250
Au1 Au 0.250 0.250 0.750
```



# 3
Ca2Ac9Er after structural relaxation. Source: the Alexandria database, functional PBE.

Computed properties:
Energy of formation from the pure elements ... 2.7 kJ/mol of atoms
D(E_F) ... 16.02 states/eV per cell
Raw total energy ... -3.77 eV per atom

```
data_Ca2Ac9Er
_chemical_formula_sum 'Ca2 Ac9 Er1'
_symmetry_space_group_name_H-M 'P 4/m m m'
_symmetry_Int_Tables_number 123
_symmetry_space_group_name_Hall '-P 4 2'
_cell_length_a 5.554
_cell_length_b 5.554
_cell_length_c 16.675
_cell_angle_alpha 90.00
_cell_angle_beta 90.00
_cell_angle_gamma 90.00
loop_
_atom_site_label
_atom_site_type_symbol
_atom_site_fract_x
_atom_site_fract_y
_atom_site_fract_z
Ca1 Ca 0.000 0.000 0.169
Ac1 Ac 0.000 0.500 0.000
Ac2 Ac 0.000 0.500 0.339
Ac3 Ac 0.500 0.500 0.169
Ac4 Ac 0.500 0.500 0.500
Er1 Er 0.000 0.000 0.500
```



# 4
NaSnPt2 after structural relaxation. Source: the Alexandria database, functional PBE.

Computed properties:
Energy of formation from the pure elements ... -33.4 kJ/mol of atoms
D(E_F) ... 1.16 states/eV per cell
Raw total energy ... -4.70 eV per atom

```
data_NaSnPt2
_chemical_formula_sum 'Na1 Sn1 Pt2'
_symmetry_space_group_name_H-M 'P 4/m m m'
_symmetry_Int_Tables_number 123
_symmetry_space_group_name_Hall '-P 4 2'
_cell_length_a 4.224
_cell_length_b 4.224
_cell_length_c 3.908
_cell_angle_alpha 90.00
_cell_angle_beta 90.00
_cell_angle_gamma 90.00
loop_
_atom_site_label
_atom_site_type_symbol
_atom_site_fract_x
_atom_site_fract_y
_atom_site_fract_z
Na1 Na 0.000 0.000 0.000
Sn1 Sn 0.500 0.500 0.000
Pt1 Pt 0.000 0.500 0.500
```



# 5
LiErTh2Se4 after structural relaxation. Source: the Alexandria database, functional PBE.

Computed properties:
D(E_F) ... 3.71 states/eV per cell
Raw total energy ... -5.98 eV per atom
Formation energy (no corrections) ... -1576 meV/atom

```
data_LiErTh2Se4
_chemical_formula_sum 'Li1 Er1 Th2 Se4'
_symmetry_space_group_name_H-M 'P 1 2/m 1'
_symmetry_Int_Tables_number 10
_cell_length_a 6.812
_cell_length_b 3.942
_cell_length_c 7.557
_cell_angle_alpha 90.00
_cell_angle_beta 107.20
_cell_angle_gamma 90.00
loop_
_symmetry_equiv_pos_as_xyz
'x,y,z'
'-x,-y,-z'
'-x,y,-z'
'x,-y,z'
loop_
_atom_site_label
_atom_site_type_symbol
_atom_site_fract_x
_atom_site_fract_y
_atom_site_fract_z
Li1 Li 0.000 0.000 0.000
Er1 Er 0.500 0.500 0.000
Th1 Th 0.000 0.500 0.500
Th2 Th 0.500 0.000 0.500
Se1 Se 0.236 0.500 0.224
Se2 Se 0.250 0.000 0.775
```



# 6
BaCoAg2Cl8 after structural relaxation. Source: the Alexandria database, functional PBE.

Computed properties:
D(E_F) ... 7.46 states/eV per cell
Raw total energy ... -3.39 eV per atom
Formation energy (no corrections) ... -935 meV/atom

```
data_BaCoAg2Cl8
_chemical_formula_sum 'Ba1 Co1 Ag2 Cl8'
_symmetry_space_group_name_H-M 'P -1'
_symmetry_Int_Tables_number 2
_cell_length_a 5.978
_cell_length_b 6.545
_cell_length_c 8.629
_cell_angle_alpha 92.11
_cell_angle_beta 95.32
_cell_angle_gamma 110.62
loop_
_symmetry_equiv_pos_as_xyz
'x,y,z'
'-x,-y,-z'
loop_
_atom_site_label
_atom_site_type_symbol
_atom_site_fract_x
_atom_site_fract_y
_atom_site_fract_z
Ba1 Ba 0.000 0.000 0.000
Co1 Co 0.000 0.000 0.500
Ag1 Ag 0.049 0.505 0.725
Cl1 Cl 0.215 0.238 0.336
Cl2 Cl 0.227 0.793 0.476
Cl3 Cl 0.256 0.202 0.705
Cl4 Cl 0.298 0.699 0.969
```



# 7
Cs2TePtF6 after structural relaxation. Source: the Alexandria database, functional PBE.

Computed properties:
D(E_F) ... 3.51 states/eV per cell
Raw total energy ... -4.01 eV per atom
Formation energy (no corrections) ... -1802 meV/atom

```
data_Cs2TePtF6
_chemical_formula_sum 'Cs4 Te2 Pt2 F12'
_symmetry_space_group_name_H-M 'I 4/m m m'
_symmetry_Int_Tables_number 139
_symmetry_space_group_name_Hall '-I 4 2'
_cell_length_a 6.371
_cell_length_b 6.371
_cell_length_c 10.806
_cell_angle_alpha 90.00
_cell_angle_beta 90.00
_cell_angle_gamma 90.00
loop_
_atom_site_label
_atom_site_type_symbol
_atom_site_fract_x
_atom_site_fract_y
_atom_site_fract_z
Cs1 Cs 0.000 0.500 0.250
Te1 Te 0.000 0.000 0.000
Pt1 Pt 0.000 0.000 0.500
F1 F 0.000 0.000 0.313
F2 F 0.242 0.242 0.000
```



# 8
TlF3 after structural relaxation. Source: the Alexandria database, functional PBE.

Computed properties:
D(E_F) ... 20.42 states/eV per cell
Raw total energy ... -2.45 eV per atom
Formation energy (no corrections) ... -455 meV/atom

```
data_TlF3
_chemical_formula_sum 'Tl3 F9'
_symmetry_space_group_name_H-M 'R -3 m'
_symmetry_Int_Tables_number 166
_symmetry_space_group_name_Hall '-R 3 2"'
_cell_length_a 3.9573
_cell_length_b 3.9573
_cell_length_c 18.4072
_cell_angle_alpha 90.00
_cell_angle_beta 90.00
_cell_angle_gamma 120.00
loop_
_atom_site_label
_atom_site_type_symbol
_atom_site_fract_x
_atom_site_fract_y
_atom_site_fract_z
Tl1 Tl 0.0000 0.0000 0.0000
F1 F 0.0000 0.0000 0.1095
F2 F 0.0000 0.0000 0.5000
```



# 9
BaLiMg2Hg after structural relaxation. Source: the Alexandria database, functional PBE.

Computed properties:
Energy of formation from the pure elements ... -10.0 kJ/mol of atoms
D(E_F) ... 3.03 states/eV per cell
Raw total energy ... -1.57 eV per atom
Distance to the lowest polymorph of the same formula ... 0 meV/atom

```
data_BaLiMg2Hg
_chemical_formula_sum 'Ba1 Li1 Mg2 Hg1'
_symmetry_space_group_name_H-M 'P 4/m m m'
_symmetry_Int_Tables_number 123
_symmetry_space_group_name_Hall '-P 4 2'
_cell_length_a 5.364
_cell_length_b 5.364
_cell_length_c 5.361
_cell_angle_alpha 90.00
_cell_angle_beta 90.00
_cell_angle_gamma 90.00
loop_
_atom_site_label
_atom_site_type_symbol
_atom_site_fract_x
_atom_site_fract_y
_atom_site_fract_z
Ba1 Ba 0.000 0.000 0.000
Li1 Li 0.500 0.500 0.000
Mg1 Mg 0.000 0.500 0.500
Hg1 Hg 0.500 0.500 0.500
```



# 10
Fe2NiAu after structural relaxation. Source: the Alexandria database, functional PBE.

Computed properties:
Energy of formation from the pure elements ... 6.3 kJ/mol of atoms
D(E_F) ... 5.73 states/eV per cell
Raw total energy ... -6.43 eV per atom
Distance to the lowest polymorph of the same formula ... 4 meV/atom

```
data_Fe2NiAu
_chemical_formula_sum 'Fe4 Ni2 Au2'
_symmetry_space_group_name_H-M 'I 4/m m m'
_symmetry_Int_Tables_number 139
_symmetry_space_group_name_Hall '-I 4 2'
_cell_length_a 3.694
_cell_length_b 3.694
_cell_length_c 7.766
_cell_angle_alpha 90.00
_cell_angle_beta 90.00
_cell_angle_gamma 90.00
loop_
_atom_site_label
_atom_site_type_symbol
_atom_site_fract_x
_atom_site_fract_y
_atom_site_fract_z
Fe1 Fe 0.000 0.500 0.250
Ni1 Ni 0.000 0.000 0.000
Au1 Au 0.000 0.000 0.500
```



# 11
FeMoPt14 after structural relaxation. Source: the Alexandria database, functional PBE.

Computed properties:
Energy of formation from the pure elements ... -15.3 kJ/mol of atoms
D(E_F) ... 21.23 states/eV per cell
Raw total energy ... -6.65 eV per atom

```
data_FeMoPt14
_chemical_formula_sum 'Fe1 Mo1 Pt14'
_symmetry_space_group_name_H-M 'P 4/m m m'
_symmetry_Int_Tables_number 123
_symmetry_space_group_name_Hall '-P 4 2'
_cell_length_a 5.614
_cell_length_b 5.614
_cell_length_c 7.856
_cell_angle_alpha 90.00
_cell_angle_beta 90.00
_cell_angle_gamma 90.00
loop_
_atom_site_label
_atom_site_type_symbol
_atom_site_fract_x
_atom_site_fract_y
_atom_site_fract_z
Fe1 Fe 0.000 0.000 0.000
Mo1 Mo 0.500 0.500 0.000
Pt1 Pt 0.000 0.000 0.500
Pt2 Pt 0.000 0.500 0.000
Pt3 Pt 0.000 0.500 0.500
Pt4 Pt 0.250 0.250 0.242
Pt5 Pt 0.500 0.500 0.500
```



# 12
Sm3Th2Os2 after structural relaxation. Source: the Alexandria database, functional PBE.

Computed properties:
Energy of formation from the pure elements ... -18.6 kJ/mol of atoms
D(E_F) ... 14.75 states/eV per cell
Raw total energy ... -7.54 eV per atom

```
data_Sm3Th2Os2
_chemical_formula_sum 'Sm6 Th4 Os4'
_symmetry_space_group_name_H-M 'C 1 2/m 1'
_symmetry_Int_Tables_number 12
_cell_length_a 12.550
_cell_length_b 3.992
_cell_length_c 8.325
_cell_angle_alpha 90.00
_cell_angle_beta 109.33
_cell_angle_gamma 90.00
loop_
_symmetry_equiv_pos_as_xyz
'x,y,z'
'-x,-y,-z'
'-x,y,-z'
'x,-y,z'
'x+1/2,y+1/2,z'
'-x+1/2,-y+1/2,-z'
'-x+1/2,y+1/2,-z'
'x+1/2,-y+1/2,z'
loop_
_atom_site_label
_atom_site_type_symbol
_atom_site_fract_x
_atom_site_fract_y
_atom_site_fract_z
Sm1 Sm 0.000 0.000 0.000
Sm2 Sm 0.126 0.000 0.427
Th1 Th 0.166 0.500 0.814
Os1 Os 0.184 0.500 0.198
```



# 13
LaFeCl after structural relaxation. Source: the Alexandria database, functional PBE.

Computed properties:
D(E_F) ... 19.65 states/eV per cell
Raw total energy ... -5.09 eV per atom
Formation energy (no corrections) ... -7 meV/atom

```
data_LaFeCl
_chemical_formula_sum 'La4 Fe4 Cl4'
_symmetry_space_group_name_H-M 'F -4 3 m'
_symmetry_Int_Tables_number 216
_symmetry_space_group_name_Hall 'F -4 2 3'
_cell_length_a 6.923
_cell_length_b 6.923
_cell_length_c 6.923
_cell_angle_alpha 90.00
_cell_angle_beta 90.00
_cell_angle_gamma 90.00
loop_
_atom_site_label
_atom_site_type_symbol
_atom_site_fract_x
_atom_site_fract_y
_atom_site_fract_z
La1 La 0.000 0.000 0.000
Fe1 Fe 0.250 0.250 0.750
Cl1 Cl 0.250 0.250 0.250
```